# 1
Computed, not measured: a relaxed structure of Re2AgSe at the PBE level of DFT.

```
Re2AgSe
1.0
2.903 0.000 0.000
0.000 2.894 -0.288
0.000 2.264 8.052
Ag Re Se
1 2 1
Cartesian
1.451 3.349 6.107 Ag
0.000 2.742 0.007 Re
1.451 1.461 1.857 Re
0.000 3.079 3.389 Se
```

- formation energy without anion corrections (meV/atom) = 341


# 2
Computed, not measured: a relaxed structure of DyTiPt6 at the PBE level of DFT.

```
DyTiPt6
1.0
-0.760 3.720 -1.368
-0.167 -1.422 -3.773
-7.921 -1.308 0.844
Dy Pt Ti
1 6 1
Cartesian
0.000 0.000 0.000 Dy
-6.197 0.899 -0.064 Pt
-2.484 1.512 -0.460 Pt
-2.188 -1.058 -1.662 Pt
-5.900 -1.671 -1.267 Pt
-0.464 1.149 -2.570 Pt
-4.424 0.495 -2.148 Pt
-3.960 -0.654 0.422 Ti
```

- energy of formation (eV per atom) = -0.9677


# 3
Computed, not measured: a relaxed structure of ZrOs2Ru at the PBE level of DFT.

```
ZrOs2Ru
1.0
2.845 0.003 0.000
-0.003 2.845 0.000
0.000 0.000 7.925
Ru Os Zr
1 2 1
Cartesian
0.000 0.000 3.756 Ru
1.421 1.424 1.973 Os
0.000 0.000 0.224 Os
1.421 1.424 5.935 Zr
```

- energy of formation (eV per atom) = 0.0331
- ΔE to the lowest computed polymorph (eV/atom) = 0.090


# 4
Computed, not measured: a relaxed structure of PRhCl3 at the PBE level of DFT.

```
PRhCl3
1.0
-3.132 0.889 -3.573
-3.223 -2.929 2.096
-1.780 3.740 2.490
Cl P Rh
3 1 1
Cartesian
-0.890 1.870 1.245 Cl
-1.566 0.444 -1.786 Cl
-1.611 -1.465 1.048 Cl
0.000 0.000 0.000 P
-4.067 0.850 0.507 Rh
```

- formation energy without anion corrections (meV/atom) = 568
- ΔE to the lowest computed polymorph (eV/atom) = 0.169


# 5
Computed, not measured: a relaxed structure of NdCrI2 at the PBE level of DFT.

```
NdCrI2
1.0
4.095 0.000 0.000
2.047 3.546 0.000
2.047 1.182 9.730
I Nd Cr
2 1 1
Cartesian
2.047 1.182 6.589 I
6.142 3.546 3.142 I
0.000 0.000 0.000 Nd
4.095 2.364 4.865 Cr
```

- formation energy without anion corrections (meV/atom) = -90


# 6
Computed, not measured: a relaxed structure of CsCu at the PBE level of DFT.

```
CsCu
1.0
6.215 0.000 0.000
-3.108 5.382 0.000
0.000 0.000 7.257
Cu Cs
2 2
Cartesian
3.108 1.794 5.443 Cu
0.000 3.588 1.814 Cu
0.000 3.588 5.443 Cs
3.108 1.794 1.814 Cs
```

- energy of formation (eV per atom) = 0.5359


# 7
Computed, not measured: a relaxed structure of ScAgRu2 at the PBE level of DFT.

```
ScAgRu2
1.0
-3.116 -2.886 8.340
-2.095 -5.394 7.356
-0.327 -3.532 8.661
Ru Sc Ag
2 1 1
Cartesian
-5.500 -11.731 24.190 Ru
-1.411 -3.009 6.204 Ru
-2.795 -5.961 12.292 Sc
-4.140 -8.830 18.208 Ag
```

- energy of formation (eV per atom) = 0.2283
- ΔE to the lowest computed polymorph (eV/atom) = 0.201


# 8
Computed, not measured: a relaxed structure of LiTeOs2 at the PBE level of DFT.

```
LiTeOs2
1.0
2.956 0.000 0.000
0.000 2.956 0.000
0.000 0.000 8.148
Os Li Te
2 1 1
Cartesian
0.000 0.000 0.176 Os
1.478 1.478 1.697 Os
1.478 1.478 6.431 Li
0.000 0.000 3.918 Te
```

- formation energy without anion corrections (meV/atom) = 423


# 9
Computed, not measured: a relaxed structure of Y2HoBi at the PBE level of DFT.

```
Y2HoBi
1.0
4.140 0.000 0.000
-2.070 6.242 0.000
0.000 0.000 9.662
Bi Y Ho
2 4 2
Cartesian
2.070 3.215 7.247 Bi
0.000 3.028 2.416 Bi
0.000 4.582 9.221 Y
0.000 4.582 5.273 Y
2.070 1.660 4.389 Y
2.070 1.660 0.442 Y
0.000 0.707 7.247 Ho
2.070 5.535 2.416 Ho
```

- energy of formation (eV per atom) = -0.4103
- ΔE to the lowest computed polymorph (eV/atom) = 0.000


# 10
Computed, not measured: a relaxed structure of La2YTcC at the PBE level of DFT.

```
La2YTcC
1.0
5.423 0.000 0.000
0.000 5.423 0.000
0.000 0.000 4.061
La Tc C Y
2 1 1 1
Cartesian
2.712 0.000 0.000 La
0.000 2.712 0.000 La
0.000 0.000 2.031 Tc
0.000 0.000 0.000 C
2.712 2.712 2.031 Y
```

- energy of formation (eV per atom) = 0.0397


# 11
Computed, not measured: a relaxed structure of In4NiP at the PBE level of DFT.

```
In4NiP
1.0
0.000 4.182 4.182
4.182 0.000 4.182
4.182 4.182 0.000
In Ni P
4 1 1
Cartesian
5.227 5.227 3.138 In
3.138 3.138 3.138 In
3.138 5.227 5.227 In
5.227 3.138 5.227 In
6.274 6.274 6.274 Ni
0.000 0.000 0.000 P
```

- energy of formation (eV per atom) = 0.7532


# 12
Computed, not measured: a relaxed structure of Pr5YTm at the PBE level of DFT.

```
Pr5YTm
1.0
-4.987 -3.625 0.923
2.814 -8.489 2.918
-1.866 1.753 8.797
Pr Tm Y
10 2 2
Cartesian
-2.162 -1.733 9.583 Pr
-4.894 -4.187 8.211 Pr
-2.293 -5.113 2.936 Pr
-4.343 -7.779 8.433 Pr
-2.439 -3.268 6.008 Pr
-1.746 -5.248 9.701 Pr
0.855 -6.174 4.426 Pr
-1.876 -8.628 3.054 Pr
-1.600 -7.093 6.629 Pr
0.304 -2.582 4.205 Pr
-2.839 -1.526 2.717 Tm
-1.200 -8.835 9.921 Tm
0.000 0.000 0.000 Y
-0.933 0.876 4.398 Y
```

- energy of formation (eV per atom) = 0.1736
- ΔE to the lowest computed polymorph (eV/atom) = 0.025


# 13
Computed, not measured: a relaxed structure of LiTl2Cl at the PBE level of DFT.

```
LiTl2Cl
1.0
8.408 0.000 0.000
0.000 8.408 0.000
4.204 4.204 3.142
Tl Li Cl
4 2 2
Cartesian
10.509 10.373 2.356 Tl
6.306 6.442 2.356 Tl
2.239 6.306 0.785 Tl
6.169 2.102 0.785 Tl
4.204 8.408 1.571 Li
4.204 4.204 0.000 Li
8.408 4.204 1.571 Cl
0.000 0.000 0.000 Cl
```

- formation energy without anion corrections (meV/atom) = -349
- ΔE to the lowest computed polymorph (eV/atom) = 0.393


# 14
Computed, not measured: a relaxed structure of PmMgZn10 at the PBE level of DFT.

```
PmMgZn10
1.0
4.290 0.000 0.000
0.000 5.219 0.000
0.000 0.000 9.232
Zn Mg Pm
10 1 1
Cartesian
2.145 3.947 6.988 Zn
0.000 0.000 3.197 Zn
2.145 1.272 6.988 Zn
2.145 0.000 4.616 Zn
0.000 0.000 6.035 Zn
0.000 2.609 1.736 Zn
2.145 3.947 2.243 Zn
2.145 1.272 2.243 Zn
0.000 2.609 7.496 Zn
2.145 2.609 0.000 Zn
0.000 2.609 4.616 Mg
0.000 0.000 0.000 Pm
```

- energy of formation (eV per atom) = -0.1632


# 15
Computed, not measured: a relaxed structure of AlInOs2 at the PBE level of DFT.

```
AlInOs2
1.0
-3.161 -4.284 -7.310
-4.529 -5.809 -5.245
-5.675 -3.316 -6.211
Os In Al
2 1 1
Cartesian
-13.273 -13.317 -18.637 Os
-3.347 -3.358 -4.700 Os
-10.001 -10.034 -14.042 In
-6.792 -6.814 -9.536 Al
```

- energy of formation (eV per atom) = 0.2042
- ΔE to the lowest computed polymorph (eV/atom) = 0.099


# 16
Computed, not measured: a relaxed structure of YReCl2 at the PBE level of DFT.

```
YReCl2
1.0
-0.197 1.325 -2.933
0.091 -3.224 0.012
-10.516 -0.296 0.571
Y Cl Re
1 2 1
Cartesian
-7.940 -1.171 -1.033 Y
-5.890 -0.166 0.320 Cl
-9.884 -0.279 0.536 Cl
-2.682 -1.023 -1.318 Re
```

- formation energy without anion corrections (meV/atom) = 239
- ΔE to the lowest computed polymorph (eV/atom) = 0.718


# 17
Computed, not measured: a relaxed structure of TcPt2W at the PBE level of DFT.

```
TcPt2W
1.0
2.797 -3.469 -0.381
-1.483 -3.903 -1.604
1.298 -1.392 -4.048
Pt W Tc
2 1 1
Cartesian
0.653 -2.191 -1.508 Pt
1.959 -6.573 -4.525 Pt
1.306 -4.382 -3.017 W
0.000 0.000 0.000 Tc
```

- energy of formation (eV per atom) = 0.2994
- ΔE to the lowest computed polymorph (eV/atom) = 0.523


# 18
Computed, not measured: a relaxed structure of Ag2Ge2I at the PBE level of DFT.

```
Ag2Ge2I
1.0
-0.573 3.767 -0.881
-3.121 -0.977 -2.146
-6.329 2.157 4.658
Ag Ge I
2 2 1
Cartesian
-7.160 3.379 1.745 Ag
-2.864 1.568 -0.114 Ag
-5.648 1.288 0.499 Ge
-4.375 3.660 1.132 Ge
0.000 0.000 0.000 I
```

- formation energy without anion corrections (meV/atom) = 229
- ΔE to the lowest computed polymorph (eV/atom) = 0.000


# 19
Computed, not measured: a relaxed structure of Y4IrPt at the PBE level of DFT.

```
Y4IrPt
1.0
-1.496 -5.233 -4.166
6.510 -2.120 0.335
-4.051 -0.214 7.353
Ir Y Pt
2 8 2
Cartesian
2.471 -2.670 5.287 Ir
-1.508 -4.898 -1.764 Ir
0.853 -2.457 2.821 Y
0.854 -1.815 7.599 Y
4.156 -4.221 -1.831 Y
-3.194 -3.346 5.354 Y
0.109 -5.111 0.702 Y
-3.147 -4.056 0.541 Y
4.110 -3.512 2.982 Y
0.108 -5.752 -4.076 Y
2.495 -3.341 0.485 Pt
-1.532 -4.227 3.038 Pt
```

- energy of formation (eV per atom) = -0.7583
- ΔE to the lowest computed polymorph (eV/atom) = 0.000


# 20
Computed, not measured: a relaxed structure of TbCe3Th at the PBE level of DFT.

```
TbCe3Th
1.0
-0.478 2.289 -2.534
-5.856 1.068 -0.263
4.598 11.076 9.128
Th Ce Tb
2 6 2
Cartesian
-2.555 9.454 4.338 Th
0.820 4.980 1.993 Th
2.938 11.783 5.390 Ce
0.365 8.320 2.748 Ce
-0.026 12.806 6.878 Ce
-4.673 2.650 0.940 Ce
-2.100 6.113 3.582 Ce
-1.709 1.627 -0.548 Ce
-2.171 4.974 0.215 Tb
0.436 9.459 6.116 Tb
```

- energy of formation (eV per atom) = 0.0592